Entry 1:
Entry from the Alexandria database: a relaxed LuMgZrTc crystal (PBE).

Geometry as POSCAR:
```
LuMgZrTc
1.0
6.8707 0.0000 0.0000
0.0000 6.8707 0.0000
0.0000 0.0000 6.8707
Lu Mg Zr Tc
4 4 4 4
Direct
0.0000 0.0000 0.0000 Lu
0.0000 0.5000 0.5000 Lu
0.5000 0.0000 0.5000 Lu
0.5000 0.5000 0.0000 Lu
0.2500 0.2500 0.7500 Mg
0.2500 0.7500 0.2500 Mg
0.7500 0.2500 0.2500 Mg
0.7500 0.7500 0.7500 Mg
0.0000 0.0000 0.5000 Zr
0.0000 0.5000 0.0000 Zr
0.5000 0.0000 0.0000 Zr
0.5000 0.5000 0.5000 Zr
0.2500 0.2500 0.2500 Tc
0.2500 0.7500 0.7500 Tc
0.7500 0.2500 0.7500 Tc
0.7500 0.7500 0.2500 Tc
```

Output
- space-group type = F-43m, No. 216
- density of states at the Fermi level (states/eV per atom) = 0.961
- ΔH_f (0 K) (eV/atom) = -0.0952
- DFT total energy (eV for the cell shown) = -101.642

Entry 2:
Entry from the Alexandria database: a relaxed NaTaO3 crystal (PBE).

Geometry as POSCAR:
```
NaTaO3
1.0
5.3919 -1.8833 0.0000
5.3919 1.8833 0.0000
-1.1534 0.0000 6.8313
Na Ta O
2 2 6
Direct
0.1346 0.1346 0.3988 Na
0.8654 0.8654 0.6012 Na
0.3785 0.3785 0.1131 Ta
0.6215 0.6215 0.8869 Ta
0.1713 0.1713 0.9551 O
0.3431 0.3431 0.3624 O
0.4449 0.4449 0.8193 O
0.5551 0.5551 0.1807 O
0.6569 0.6569 0.6376 O
0.8287 0.8287 0.0449 O
```

Output
- space-group type = C2/m, No. 12
- raw formation energy (meV per atom) = -2580
- density of states at the Fermi level (states/eV per atom) = 0.000
- DFT total energy (eV for the cell shown) = -81.890

Entry 3:
Entry from the Alexandria database: a relaxed AgIrRh4 crystal (PBE).

Geometry as POSCAR:
```
AgIrRh4
1.0
0.0000 3.6069 3.6069
3.6069 0.0000 3.6069
3.6069 3.6069 0.0000
Ag Ir Rh
1 1 4
Direct
0.0000 0.0000 0.0000 Ag
0.7500 0.7500 0.7500 Ir
0.3751 0.3751 0.3751 Rh
0.3751 0.3751 0.8748 Rh
0.3751 0.8748 0.3751 Rh
0.8748 0.3751 0.3751 Rh
```

Output
- space-group type = F-43m, No. 216
- density of states at the Fermi level (states/eV per atom) = 1.845
- ΔH_f (0 K) (eV/atom) = 0.5208
- DFT total energy (eV for the cell shown) = -37.993

Entry 4:
Entry from the Alexandria database: a relaxed MgSc2FeS crystal (PBE).

Geometry as POSCAR:
```
MgSc2FeS
1.0
4.8895 0.0000 0.0000
0.0000 4.8895 0.0000
0.0000 0.0000 4.1850
Mg Sc Fe S
1 2 1 1
Direct
0.0000 0.0000 0.0000 Mg
0.0000 0.5000 0.5000 Sc
0.5000 0.0000 0.5000 Sc
0.5000 0.5000 0.0000 Fe
0.5000 0.5000 0.5000 S
```

Output
- space-group type = P4/mmm, No. 123
- raw formation energy (meV per atom) = -440
- density of states at the Fermi level (states/eV per atom) = 0.582
- DFT total energy (eV for the cell shown) = -29.048